The following is a DFT calculation (GGA+U) of a relaxed structure of YMnO3.

Values from the calculation:
VASP energy in hartree per atom: -0.3071
Space-group type: No. 62

Lattice parameters (Å, degrees): 5.8849 7.4956 5.3429 90.00 90.00 90.00
Last column: nearest neighbours and their distance in Å.
Fractional positions:
Y 0.0822 0.2500 0.0183  6 O 2.26-2.53
Y 0.4178 0.7500 0.5183  6 O 2.26-2.53
Y 0.5822 0.2500 0.4817  6 O 2.26-2.53
Y 0.9178 0.7500 0.9817  6 O 2.26-2.53
Mn 0.0000 0.0000 0.5000  4 O 1.94-1.99
Mn 0.0000 0.5000 0.5000  4 O 1.94-1.99
Mn 0.5000 0.0000 0.0000  4 O 1.94-1.99
Mn 0.5000 0.5000 0.0000  4 O 1.94-1.99
O 0.0420 0.7500 0.3825  2 Mn 1.99
O 0.1740 0.5559 0.7990  1 Mn 1.94
O 0.1740 0.9441 0.7990  1 Mn 1.94
O 0.3260 0.0559 0.2990  1 Mn 1.94
O 0.3260 0.4441 0.2990  1 Mn 1.94
O 0.4580 0.2500 0.8825  2 Mn 1.99
O 0.5420 0.7500 0.1175  2 Mn 1.99
O 0.6740 0.5559 0.7010  1 Mn 1.94
O 0.6740 0.9441 0.7010  1 Mn 1.94
O 0.8260 0.0559 0.2010  1 Mn 1.94
O 0.8260 0.4441 0.2010  1 Mn 1.94
O 0.9580 0.2500 0.6175  2 Mn 1.99